# La4CoSi

A geometry-optimized La4CoSi structure (PBE, Alexandria via LeMat-Bulk).

Cell: 8.937 14.184 6.386 Å, 90.00 122.09 90.00°
Space group C2/c (No. 15)
One atom of each set of equivalent atoms:
La 0.121 0.190 0.084 x8
La 0.225 0.441 0.314 x8
Co 0.000 0.011 0.250 x4
Si 0.000 0.375 0.750 x4

Results
- Formation energy (no corrections): -0.289 eV/atom